# 1
DFT (PBE) results for a relaxed NaPu5Pt6 crystal.

Unit cell a=8.579 b=8.579 c=8.579 alpha=146.34 beta=132.07 gamma=59.84
Fractional coordinates of all 12 atoms:
Na: 0.000 0.000 0.000
Pu: 0.151 0.651 0.500
Pu: 0.327 0.327 0.000
Pu: 0.500 0.000 0.500
Pu: 0.673 0.673 0.000
Pu: 0.849 0.349 0.500
Pt: 0.091 0.826 0.265
Pt: 0.274 0.500 0.774
Pt: 0.439 0.174 0.265
Pt: 0.561 0.826 0.735
Pt: 0.726 0.500 0.226
Pt: 0.909 0.174 0.735

Properties
DOS at the Fermi energy = 4.940 states/eV per atom
E_form = -631 meV/atom
Theoretical density = 15.570 g cm⁻³



# 2
DFT (PBE) results for a relaxed NaPu4Pt4 crystal.

Unit cell a=7.095 b=7.095 c=7.095 alpha=99.24 beta=99.24 gamma=132.74
Fractional coordinates of all 9 atoms:
Na: 0.000 0.000 0.000
Pu: 0.188 0.604 0.792
Pu: 0.396 0.188 0.585
Pu: 0.604 0.812 0.415
Pu: 0.812 0.396 0.208
Pt: 0.111 0.306 0.417
Pt: 0.306 0.889 0.195
Pt: 0.694 0.111 0.805
Pt: 0.889 0.694 0.583

Properties
DOS at the Fermi energy = 4.280 states/eV per atom
E_form = -498 meV/atom
Theoretical density = 12.297 g cm⁻³



# 3
DFT (PBE) results for a relaxed NaPu2Pt crystal.

Unit cell a=3.454 b=3.454 c=9.328 alpha=90.00 beta=90.00 gamma=90.00
Fractional coordinates of all 4 atoms:
Na: 0.000 0.000 0.000
Pu: 0.500 0.500 0.317
Pu: 0.500 0.500 0.683
Pt: 0.000 0.000 0.500

Properties
Energy above the most stable polymorph in this dataset = 0 meV/atom
DOS at the Fermi energy = 4.071 states/eV per atom
E_form = -179 meV/atom
Theoretical density = 10.534 g cm⁻³



# 4
DFT (PBE) results for a relaxed NaPuPt2 crystal.

Unit cell a=5.232 b=5.232 c=2.888 alpha=90.00 beta=90.00 gamma=90.00
Fractional coordinates of all 4 atoms:
Na: 0.000 0.000 0.000
Pu: 0.500 0.500 0.000
Pt: 0.000 0.500 0.500
Pt: 0.500 0.000 0.500

Properties
DOS at the Fermi energy = 1.909 states/eV per atom
E_form = -442 meV/atom
Theoretical density = 13.805 g cm⁻³